Mn2AuCl, optimized geometry, DFT GGA-PBE; calculated total energy = -5.617 eV per atom; polymorph energy (0 for the lowest one) = 334 meV/atom; symmetry = I-4m2, No. 119; volume = 19.2 A^3/atom; formation energy (no corrections) = 249 meV per atom
1.0
6.026 1.142 0.000
2.923 5.391 0.000
-4.474 -3.267 2.631
Mn Au Cl
2 1 1
Direct
0.000 0.000 0.000
0.250 0.750 0.500
0.500 0.500 0.000
0.750 0.250 0.500

=====

Mn2AuCl2, optimized geometry, DFT GGA-PBE; calculated total energy = -4.531 eV per atom; polymorph energy (0 for the lowest one) = 562 meV/atom; symmetry = I4/mmm, No. 139; volume = 15.7 A^3/atom; formation energy (no corrections) = 531 meV per atom
1.0
-1.731 -1.149 3.380
3.140 -2.277 0.834
2.843 2.115 4.505
Mn Au Cl
2 1 2
Direct
0.750 0.250 0.500
0.250 0.750 0.500
0.000 0.000 0.000
0.354 0.354 0.293
0.646 0.646 0.707

=====

Mn2AuCl, optimized geometry, DFT GGA-PBE; calculated total energy = -5.666 eV per atom; polymorph energy (0 for the lowest one) = 284 meV/atom; symmetry = I-42d, No. 122; volume = 20.1 A^3/atom; formation energy (no corrections) = 199 meV per atom
1.0
-3.301 -2.740 5.372
-1.127 -5.736 -3.618
0.711 -5.531 2.016
Mn Au Cl
4 2 2
Direct
0.613 0.125 0.250
0.137 0.625 0.250
0.375 0.387 0.750
0.875 0.863 0.750
0.000 0.000 0.000
0.750 0.250 0.500
0.500 0.500 0.000
0.250 0.750 0.500